Below is a relaxed structure of Sn2Hg2Pd3, with properties calculated at the GGA-PBE level.

Calculated values
The volume comes out at 20.21 A^3/atom. The total DFT energy (no corrections) is -78.56 eV per cell.

CIF file:
```
data_Sn2Hg2Pd3
_chemical_formula_sum 'Sn6 Hg6 Pd9'
_cell_length_a 4.6609
_cell_length_b 4.6609
_cell_length_c 22.5580
_cell_angle_alpha 90.00
_cell_angle_beta 90.00
_cell_angle_gamma 120.00
_space_group_name_H-M_alt 'R 3 m'
_space_group_IT_number 160
_space_group_name_Hall 'R 3 -2"'
loop_
_atom_site_label
_atom_site_type_symbol
_atom_site_fract_x
_atom_site_fract_y
_atom_site_fract_z
Sn1 Sn 0.0000 0.0000 0.0000
Sn2 Sn 0.0000 0.0000 0.4939
Hg1 Hg 0.0000 0.0000 0.2413
Hg2 Hg 0.0000 0.0000 0.7509
Pd1 Pd 0.0000 0.0000 0.3695
Pd2 Pd 0.0000 0.0000 0.6220
Pd3 Pd 0.0000 0.0000 0.8739
```


Below is a relaxed structure of MgCoB4, with properties calculated at the GGA-PBE level.

Calculated values
The volume comes out at 8.43 A^3/atom. As for the offset from the most stable computed form: 0.191 eV per atom. The total DFT energy (no corrections) is -71.21 eV per cell. The size of the total moment is 1.151 μB per formula unit.

CIF file:
```
data_MgCoB4
_chemical_formula_sum 'Mg2 Co2 B8'
_cell_length_a 2.9893
_cell_length_b 5.1875
_cell_length_c 6.5239
_cell_angle_alpha 90.00
_cell_angle_beta 90.00
_cell_angle_gamma 90.00
_space_group_name_H-M_alt 'I m m m'
_space_group_IT_number 71
_space_group_name_Hall '-I 2 2'
loop_
_atom_site_label
_atom_site_type_symbol
_atom_site_fract_x
_atom_site_fract_y
_atom_site_fract_z
Mg1 Mg 0.0000 0.0000 0.0000
Co1 Co 0.0000 0.0000 0.5000
B1 B 0.0000 0.3364 0.2513
```


Below is a relaxed structure of AgSnGe2, with properties calculated at the GGA-PBE level.

Calculated values
The volume comes out at 21.28 A^3/atom. The total DFT energy (no corrections) is -60.08 eV per cell.

CIF file:
```
data_AgSnGe2
_chemical_formula_sum 'Ag4 Sn4 Ge8'
_cell_length_a 6.9826
_cell_length_b 6.9826
_cell_length_c 6.9826
_cell_angle_alpha 90.00
_cell_angle_beta 90.00
_cell_angle_gamma 90.00
_space_group_name_H-M_alt 'F -4 3 m'
_space_group_IT_number 216
_space_group_name_Hall 'F -4 2 3'
loop_
_atom_site_label
_atom_site_type_symbol
_atom_site_fract_x
_atom_site_fract_y
_atom_site_fract_z
Ag1 Ag 0.0000 0.0000 0.0000
Sn1 Sn 0.2500 0.2500 0.7500
Ge1 Ge 0.0000 0.0000 0.5000
Ge2 Ge 0.2500 0.2500 0.2500
```


Below is a relaxed structure of ZnCdB4, with properties calculated at the GGA-PBE level.

Calculated values
The volume comes out at 10.11 A^3/atom. As for the offset from the most stable computed form: 0.000 eV per atom. The total DFT energy (no corrections) is -26.40 eV per cell.

CIF file:
```
data_ZnCdB4
_chemical_formula_sum 'Zn1 Cd1 B4'
_cell_length_a 3.1017
_cell_length_b 3.1017
_cell_length_c 7.2817
_cell_angle_alpha 90.00
_cell_angle_beta 90.00
_cell_angle_gamma 120.00
_space_group_name_H-M_alt 'P 6/m m m'
_space_group_IT_number 191
_space_group_name_Hall '-P 6 2'
loop_
_atom_site_label
_atom_site_type_symbol
_atom_site_fract_x
_atom_site_fract_y
_atom_site_fract_z
Zn1 Zn 0.0000 0.0000 0.0000
Cd1 Cd 0.0000 0.0000 0.5000
B1 B 0.3333 0.6667 0.2253
```